No. 1
Below is HfTi2Si after structural relaxation, with properties calculated at the PBE-GGA level.

final energy = -0.610 Ry/atom
M_tot = 0.000 μB/atom
N(E_F) = 8.475 states/eV per cell
uncorrected formation energy = -0.51 eV/atom

a = 3.455 Å, b = 5.350 Å, c = 7.992 Å
α = 90.00°, β = 90.00°, γ = 108.84°
Element x y z (fractional)
Hf: 0.945 0.889 0.250
Hf: 0.055 0.111 0.750
Ti: 0.361 0.723 0.540
Ti: 0.639 0.277 0.460
Ti: 0.361 0.723 0.960
Ti: 0.639 0.277 0.040
Si: 0.767 0.535 0.750
Si: 0.233 0.465 0.250



No. 2
Below is La5ThTe6 after structural relaxation, with properties calculated at the PBE-GGA level.

final energy = -0.422 Ry/atom
M_tot = 0.000 μB/atom
N(E_F) = 7.384 states/eV per cell
uncorrected formation energy = -1.50 eV/atom

a = 7.895 Å, b = 7.895 Å, c = 7.922 Å
α = 99.59°, β = 99.59°, γ = 120.16°
Element x y z (fractional)
Te: 0.412 0.082 0.247
Te: 0.918 0.588 0.753
Te: 0.246 0.246 0.749
Te: 0.754 0.754 0.251
Te: 0.082 0.412 0.247
Te: 0.588 0.918 0.753
Th: 0.000 0.000 0.000
La: 0.830 0.170 0.500
La: 0.666 0.334 0.000
La: 0.500 0.500 0.500
La: 0.334 0.666 0.000
La: 0.170 0.830 0.500



No. 3
Below is KMgIn after structural relaxation, with properties calculated at the PBE-GGA level.

final energy = -0.136 Ry/atom
M_tot = 0.000 μB/atom
N(E_F) = 6.270 states/eV per cell
formation energy from the elements = -3.6 kJ per mole of atoms

a = 6.435 Å, b = 6.598 Å, c = 8.980 Å
α = 90.00°, β = 90.00°, γ = 90.00°
Element x y z (fractional)
K: 0.000 0.250 0.129
K: 0.000 0.750 0.871
K: 0.500 0.750 0.629
K: 0.500 0.250 0.371
Mg: 0.250 0.250 0.750
Mg: 0.250 0.750 0.250
Mg: 0.750 0.750 0.250
Mg: 0.750 0.250 0.750
In: 0.000 0.000 0.500
In: 0.000 0.500 0.500
In: 0.500 0.500 0.000
In: 0.500 0.000 0.000



No. 4
Below is LiCrTc after structural relaxation, with properties calculated at the PBE-GGA level.

final energy = -0.473 Ry/atom
M_tot = 0.238 μB/atom
N(E_F) = 3.619 states/eV per cell
formation energy from the elements = 83.7 kJ per mole of atoms

a = 4.005 Å, b = 4.005 Å, c = 4.005 Å
α = 60.00°, β = 60.00°, γ = 60.00°
Each line ends with the local moment (μB).
Element x y z (fractional)
Cr: 0.750 0.750 0.750  1.39
Li: 0.000 0.000 0.000  0.01
Tc: 0.500 0.500 0.500  -0.72



No. 5
Below is Pm4GeTe2Pt after structural relaxation, with properties calculated at the PBE-GGA level.

final energy = -0.419 Ry/atom
M_tot = 0.000 μB/atom
N(E_F) = 6.709 states/eV per cell
uncorrected formation energy = -1.20 eV/atom

a = 4.308 Å, b = 7.464 Å, c = 7.765 Å
α = 108.83°, β = 90.00°, γ = 90.00°
Element x y z (fractional)
Pm: 0.500 0.237 0.218
Pm: 0.500 0.763 0.782
Pm: 0.000 0.259 0.776
Pm: 0.000 0.741 0.224
Ge: 0.500 0.500 0.000
Te: 0.500 0.000 0.500
Te: 0.000 0.500 0.500
Pt: 0.000 0.000 0.000



No. 6
Below is CaCeSm2Sb4 after structural relaxation, with properties calculated at the PBE-GGA level.

final energy = -0.389 Ry/atom
M_tot = 0.029 μB/atom
N(E_F) = 3.897 states/eV per cell
uncorrected formation energy = -1.06 eV/atom

a = 4.492 Å, b = 7.739 Å, c = 7.789 Å
α = 109.19°, β = 90.00°, γ = 90.00°
Each line ends with the local moment (μB).
Element x y z (fractional)
Ca: 0.500 0.500 0.000  0.00
Ce: 0.000 0.000 0.000  0.32
Sm: 0.500 0.000 0.500  -0.01
Sm: 0.000 0.500 0.500  -0.01
Sb: 0.500 0.247 0.249  -0.01
Sb: 0.500 0.753 0.751  -0.01
Sb: 0.000 0.245 0.749  -0.01
Sb: 0.000 0.755 0.251  -0.01